TeMoP | meta-GGA SCAN | single point on PBEsol structure

E_form (uncorrected) in eV per atom: -0.041
Energy relative to the lowest polymorph listed for this composition in eV/atom: 0.000

```
data_TeMoP
_symmetry_space_group_name_H-M 'P 3 m 1'
_symmetry_Int_Tables_number 156
_cell_length_a 3.3347
_cell_length_b 3.3347
_cell_length_c 5.8170
_cell_angle_alpha 90.00
_cell_angle_beta 90.00
_cell_angle_gamma 120.00
loop_
_symmetry_equiv_pos_as_xyz
'x,y,z'
'-y,x-y,z'
'-x+y,-x,z'
'-y,-x,z'
'-x+y,y,z'
'x,x-y,z'
loop_
_atom_site_label
_atom_site_type_symbol
_atom_site_fract_x
_atom_site_fract_y
_atom_site_fract_z
_atom_site_occupancy
Te1 Te 0.0000 0.0000 0.0000 1
Mo1 Mo 0.3333 0.6667 0.6638 1
P1 P 0.6667 0.3333 0.4121 1
```